Tb4Pr2ErTm2 | PBE | optimized geometry

## Properties
symmetry = P-1
V = 32.51 A^3/atom
total DFT energy (no corrections) = -40.82 eV per cell
DOS at the Fermi energy = 1.497 states/eV per atom

Cell: 6.809 9.877 6.646 Å, 120.96 126.92 59.17°
Fractional coordinates of all 9 atoms:
Tb  0.741  0.882  0.194
Tb  0.612  0.765  0.504
Tb  0.259  0.118  0.806
Tb  0.388  0.235  0.496
Pr  0.265  0.658  0.600
Pr  0.735  0.342  0.400
Er  0.000  0.000  0.000
Tm  0.821  0.446  0.039
Tm  0.179  0.554  0.961

=====

NdDyMgZr | PBE | optimized geometry

## Properties
symmetry = F-43m
V = 27.86 A^3/atom
total DFT energy (no corrections) = -18.98 eV per cell
DOS at the Fermi energy = 1.233 states/eV per atom

Cell: 5.401 5.401 5.401 Å, 60.00 60.00 60.00°
Last column: magnetic moment on the atom in μB.
Fractional coordinates of all 4 atoms:
Mg  0.250  0.250  0.250  -0.01
Nd  0.000  0.000  0.000  0.16
Zr  0.750  0.750  0.750  0.81
Dy  0.500  0.500  0.500  0.29

=====

- Which of these has the lowest total DFT energy (no corrections)?
  Tb4Pr2ErTm2

=====

- What is the total DFT energy (no corrections) in the first record?
  -40.82 eV per cell